LaPmCuRh | PBE | optimized geometry

Results
Offset from the most stable computed form in meV/atom: 0
SG: Amm2 (38)
Energy of formation from the pure elements in eV/atom: -0.49
Mass density in g/cm³: 7.84
Size of the total moment in μB/f.u.: 0.000

Cell: 4.4084 5.7921 5.7921 Å, 40.16 90.00 90.00°
Fractional coordinates of all 4 atoms:
La: 0.0000 0.0000 0.0000
Pm: 0.5000 0.7260 0.7260
Cu: 0.0000 0.2885 0.2885
Rh: 0.5000 0.4444 0.4444



LaPmCuRh | PBE | optimized geometry

Results
Offset from the most stable computed form in meV/atom: 66
SG: F-43m (216)
Energy of formation from the pure elements in eV/atom: -0.42
Mass density in g/cm³: 8.12
Size of the total moment in μB/f.u.: 0.000

Cell: 5.0695 5.0695 5.0695 Å, 60.00 60.00 60.00°
Fractional coordinates of all 4 atoms:
La: 0.0000 0.0000 0.0000
Pm: 0.5000 0.5000 0.5000
Cu: 0.2500 0.2500 0.2500
Rh: 0.7500 0.7500 0.7500



LaPmCuRu | PBE | optimized geometry

Results
Offset from the most stable computed form in meV/atom: 30
SG: F-43m (216)
Energy of formation from the pure elements in eV/atom: -0.19
Mass density in g/cm³: 8.25
Size of the total moment in μB/f.u.: 0.000

Cell: 5.0355 5.0355 5.0355 Å, 60.00 60.00 60.00°
Fractional coordinates of all 4 atoms:
La: 0.0000 0.0000 0.0000
Pm: 0.5000 0.5000 0.5000
Cu: 0.7500 0.7500 0.7500
Ru: 0.2500 0.2500 0.2500



LaPmCuRu | PBE | optimized geometry

Results
Offset from the most stable computed form in meV/atom: 0
SG: Amm2 (38)
Energy of formation from the pure elements in eV/atom: -0.22
Mass density in g/cm³: 7.91
Size of the total moment in μB/f.u.: 0.000

Cell: 4.2375 5.8608 5.8608 Å, 40.30 90.00 90.00°
Fractional coordinates of all 4 atoms:
La: 0.0000 0.0000 0.0000
Pm: 0.5000 0.7244 0.7244
Cu: 0.0000 0.2904 0.2904
Ru: 0.5000 0.4378 0.4378



LaPm2CuS5 | PBE | optimized geometry

Results
Formation energy without anion corrections in eV/atom: -1.735
SG: Cmc2_1 (36)
Mass density in g/cm³: 5.29
Size of the total moment in μB/f.u.: 0.000

Cell: 9.4628 9.4628 11.2790 Å, 90.00 90.00 156.05°
Fractional coordinates of all 18 atoms:
La: 0.1986 0.8014 0.5000
La: 0.8014 0.1986 0.0000
Pm: 0.0911 0.9089 0.1753
Pm: 0.1100 0.8900 0.8028
Pm: 0.8900 0.1100 0.3028
Pm: 0.9089 0.0911 0.6753
Cu: 0.4381 0.5619 0.9437
Cu: 0.5619 0.4381 0.4437
S: 0.0482 0.9518 0.5515
S: 0.3014 0.6986 0.1856
S: 0.3319 0.6681 0.8245
S: 0.3610 0.6390 0.4968
S: 0.4963 0.5037 0.2721
S: 0.5037 0.4963 0.7721
S: 0.6390 0.3610 0.9968
S: 0.6681 0.3319 0.3245
S: 0.6986 0.3014 0.6856
S: 0.9518 0.0482 0.0515



La2PmCuS5 | PBE | optimized geometry

Results
Formation energy without anion corrections in eV/atom: -1.832
SG: Cmc2_1 (36)
Mass density in g/cm³: 5.27
Size of the total moment in μB/f.u.: 0.000

Cell: 8.6146 8.6146 12.1571 Å, 90.00 90.00 153.17°
Fractional coordinates of all 18 atoms:
La: 0.1151 0.8849 0.5000
La: 0.1169 0.8831 0.1535
La: 0.8831 0.1169 0.6535
La: 0.8849 0.1151 0.0000
Pm: 0.1784 0.8216 0.8331
Pm: 0.8216 0.1784 0.3331
Cu: 0.4506 0.5494 0.2296
Cu: 0.5494 0.4506 0.7296
S: 0.0141 0.9859 0.8171
S: 0.3005 0.6995 0.4956
S: 0.3152 0.6848 0.1682
S: 0.3457 0.6543 0.8261
S: 0.4936 0.5064 0.5580
S: 0.5064 0.4936 0.0580
S: 0.6543 0.3457 0.3261
S: 0.6848 0.3152 0.6682
S: 0.6995 0.3005 0.9956
S: 0.9859 0.0141 0.3171



LaPmCu2S4 | PBE | optimized geometry

Results
Formation energy without anion corrections in eV/atom: -1.280
SG: I222 (23)
Mass density in g/cm³: 5.26
Size of the total moment in μB/f.u.: 0.000

Cell: 6.0698 6.0698 6.0698 Å, 113.97 112.28 102.40°
Fractional coordinates of all 8 atoms:
La: 0.0000 0.0000 0.0000
Pm: 0.5000 0.5000 0.0000
Cu: 0.3258 0.8258 0.5000
Cu: 0.6742 0.1742 0.5000
S: 0.0660 0.0309 0.5195
S: 0.4886 0.9691 0.0351
S: 0.5114 0.5465 0.4805
S: 0.9340 0.4535 0.9649



LaPmCuSb | PBE | optimized geometry

Results
Formation energy without anion corrections in eV/atom: -0.536
SG: F-43m (216)
Mass density in g/cm³: 7.27
Size of the total moment in μB/f.u.: 0.000

Cell: 5.3313 5.3313 5.3313 Å, 60.00 60.00 60.00°
Fractional coordinates of all 4 atoms:
La: 0.0000 0.0000 0.0000
Pm: 0.5000 0.5000 0.5000
Cu: 0.2500 0.2500 0.2500
Sb: 0.7500 0.7500 0.7500



LaPmScCu | PBE | optimized geometry

Results
SG: F-43m (216)
Energy of formation from the pure elements in eV/atom: 0.14
Mass density in g/cm³: 6.14
Size of the total moment in μB/f.u.: 0.000

Cell: 5.3139 5.3139 5.3139 Å, 60.00 60.00 60.00°
Fractional coordinates of all 4 atoms:
La: 0.0000 0.0000 0.0000
Pm: 0.5000 0.5000 0.5000
Sc: 0.7500 0.7500 0.7500
Cu: 0.2500 0.2500 0.2500



LaPmCuSe4 | PBE | optimized geometry

Results
Formation energy without anion corrections in eV/atom: -1.450
SG: P2_1/m (11)
Mass density in g/cm³: 6.44
Size of the total moment in μB/f.u.: 0.000

Cell: 7.1484 5.9386 8.4348 Å, 90.00 107.09 90.00°
Fractional coordinates of all 14 atoms:
La: 0.2368 0.2500 0.4327
La: 0.7632 0.7500 0.5673
Pm: 0.2323 0.2500 0.9346
Pm: 0.7677 0.7500 0.0654
Cu: 0.2403 0.7500 0.1853
Cu: 0.7597 0.2500 0.8147
Se: 0.0718 0.7500 0.3915
Se: 0.0742 0.7500 0.8941
Se: 0.4864 0.5094 0.7518
Se: 0.4864 0.9906 0.7518
Se: 0.5136 0.0094 0.2482
Se: 0.5136 0.4906 0.2482
Se: 0.9258 0.2500 0.1059
Se: 0.9282 0.2500 0.6085



LaPmCu2Si2 | PBE | optimized geometry

Results
Formation energy without anion corrections in eV/atom: -0.628
SG: P-3m1 (164)
Mass density in g/cm³: 6.24
Size of the total moment in μB/f.u.: 0.000

Cell: 4.2333 4.2333 8.0056 Å, 90.00 90.00 120.00°
Fractional coordinates of all 6 atoms:
La: 0.0000 0.0000 0.0000
Pm: 0.0000 0.0000 0.5000
Cu: 0.3333 0.6667 0.2621
Cu: 0.6667 0.3333 0.7379
Si: 0.3333 0.6667 0.7419
Si: 0.6667 0.3333 0.2581



LaPmSmCu | PBE | optimized geometry

Results
SG: P4mm (99)
Energy of formation from the pure elements in eV/atom: -0.07
Mass density in g/cm³: 7.13
Size of the total moment in μB/f.u.: 0.000

Cell: 3.6203 3.6203 8.8498 Å, 90.00 90.00 90.00°
Fractional coordinates of all 4 atoms:
La: 0.0000 0.0000 0.0000
Pm: 0.5000 0.5000 0.3082
Sm: 0.5000 0.5000 0.6937
Cu: 0.0000 0.0000 0.5037



LaPmCuSn | PBE | optimized geometry

Results
SG: F-43m (216)
Energy of formation from the pure elements in eV/atom: -0.43
Mass density in g/cm³: 7.11
Size of the total moment in μB/f.u.: 0.001

Cell: 5.3594 5.3594 5.3594 Å, 60.00 60.00 60.00°
Fractional coordinates of all 4 atoms:
La: 0.0000 0.0000 0.0000
Pm: 0.5000 0.5000 0.5000
Cu: 0.2500 0.2500 0.2500
Sn: 0.7500 0.7500 0.7500



LaPm2Cu2Sn2 | PBE | optimized geometry

Results
SG: R-3m (166)
Energy of formation from the pure elements in eV/atom: -0.44
Mass density in g/cm³: 7.34
Size of the total moment in μB/f.u.: 0.000

Cell: 10.0050 10.0050 10.0050 Å, 26.81 26.81 26.81°
Fractional coordinates of all 7 atoms:
La: 0.0000 0.0000 0.0000
Pm: 0.1304 0.1304 0.1304
Pm: 0.8696 0.8696 0.8696
Cu: 0.4139 0.4139 0.4139
Cu: 0.5861 0.5861 0.5861
Sn: 0.2624 0.2624 0.2624
Sn: 0.7376 0.7376 0.7376



LaTbPmCu | PBE | optimized geometry

Results
SG: P4mm (99)
Energy of formation from the pure elements in eV/atom: -0.08
Mass density in g/cm³: 7.37
Size of the total moment in μB/f.u.: 0.000

Cell: 3.5900 3.5900 8.8468 Å, 90.00 90.00 90.00°
Fractional coordinates of all 4 atoms:
La: 0.0000 0.0000 0.0000
Tb: 0.5000 0.5000 0.6941
Pm: 0.5000 0.5000 0.3121
Cu: 0.0000 0.0000 0.5141



LaPmTlCu | PBE | optimized geometry

Results
SG: F-43m (216)
Energy of formation from the pure elements in eV/atom: -0.22
Mass density in g/cm³: 8.29
Size of the total moment in μB/f.u.: 0.017

Cell: 5.3880 5.3880 5.3880 Å, 60.00 60.00 60.00°
Fractional coordinates of all 4 atoms:
La: 0.0000 0.0000 0.0000
Pm: 0.5000 0.5000 0.5000
Tl: 0.2500 0.2500 0.2500
Cu: 0.7500 0.7500 0.7500



LaPmYCu | PBE | optimized geometry

Results
SG: P4mm (99)
Energy of formation from the pure elements in eV/atom: -0.08
Mass density in g/cm³: 6.34
Size of the total moment in μB/f.u.: 0.002

Cell: 3.5878 3.5878 8.8786 Å, 90.00 90.00 90.00°
Fractional coordinates of all 4 atoms:
La: 0.0000 0.0000 0.0000
Pm: 0.5000 0.5000 0.6895
Y: 0.5000 0.5000 0.3088
Cu: 0.0000 0.0000 0.4897



LaPr3Cu | PBE | optimized geometry

Results
SG: Pm-3m (221)
Energy of formation from the pure elements in eV/atom: 0.12
Mass density in g/cm³: 5.81
Size of the total moment in μB/f.u.: 0.000

Cell: 5.6325 5.6325 5.6325 Å, 90.00 90.00 90.00°
Fractional coordinates of all 5 atoms:
La: 0.0000 0.0000 0.0000
Pr: 0.0000 0.5000 0.5000
Pr: 0.5000 0.0000 0.5000
Pr: 0.5000 0.5000 0.0000
Cu: 0.5000 0.5000 0.5000



La3Pr3Cu4 | PBE | optimized geometry

Results
SG: Amm2 (38)
Energy of formation from the pure elements in eV/atom: -0.09
Mass density in g/cm³: 6.80
Size of the total moment in μB/f.u.: 0.000

Cell: 3.8689 8.3086 8.3086 Å, 90.32 90.00 90.00°
Fractional coordinates of all 10 atoms:
La: 0.0000 0.0000 0.0000
La: 0.0000 0.5014 0.8318
La: 0.0000 0.8318 0.5014
Pr: 0.0000 0.3312 0.3312
Pr: 0.5000 0.1693 0.6624
Pr: 0.5000 0.6624 0.1693
Cu: 0.5000 0.0482 0.2845
Cu: 0.5000 0.2845 0.0482
Cu: 0.5000 0.5465 0.5465
Cu: 0.5000 0.7840 0.7840



LaPrCu3 | PBE | optimized geometry

Results
SG: Cmcm (63)
Energy of formation from the pure elements in eV/atom: -0.19
Mass density in g/cm³: 6.99
Size of the total moment in μB/f.u.: 0.000

Cell: 13.3099 13.3099 4.3881 Å, 90.00 90.00 163.30°
Fractional coordinates of all 10 atoms:
La: 0.0704 0.9296 0.7500
La: 0.9296 0.0704 0.2500
Pr: 0.2034 0.7966 0.2500
Pr: 0.7966 0.2034 0.7500
Cu: 0.3319 0.6681 0.2500
Cu: 0.3826 0.6174 0.7500
Cu: 0.4769 0.5231 0.7500
Cu: 0.5231 0.4769 0.2500
Cu: 0.6174 0.3826 0.2500
Cu: 0.6681 0.3319 0.7500